[1]
Material: KTe2IrN
Method: DFT, PBE
State: optimized geometry

Output
formation energy (no corrections) = -0.02 eV/atom
E above lowest polymorph = 0 meV/atom
raw total energy = -4.93 eV per atom

Lattice parameters (Å, degrees): 5.891 5.891 3.655 90.00 90.00 90.00
Positions (direct):
K1 0.500 0.500 0.500
Ir1 0.000 0.000 0.000
Te1 0.000 0.500 0.000
Te2 0.500 0.000 0.000
N1 0.000 0.000 0.500

[2]
Material: K2TlIrN
Method: DFT, PBE
State: optimized geometry

Output
formation energy (no corrections) = 0.04 eV/atom
raw total energy = -4.31 eV per atom

Lattice parameters (Å, degrees): 5.988 5.988 3.733 90.00 90.00 90.00
Positions (direct):
Tl1 0.500 0.500 0.500
Ir1 0.000 0.000 0.500
K1 0.000 0.500 0.000
K2 0.500 0.000 0.000
N1 0.000 0.000 0.000

[3]
Material: K2ZnIrN
Method: DFT, PBE
State: optimized geometry

Output
formation energy (no corrections) = 0.05 eV/atom
raw total energy = -4.08 eV per atom

Lattice parameters (Å, degrees): 5.919 5.919 3.721 90.00 90.00 90.00
Positions (direct):
Zn1 0.500 0.500 0.500
Ir1 0.000 0.000 0.500
K1 0.000 0.500 0.000
K2 0.500 0.000 0.000
N1 0.000 0.000 0.000

[4]
Material: KNaIr3
Method: DFT, PBE
State: optimized geometry

Output
E above lowest polymorph = 584 meV/atom
E_form = 2816 meV/atom
raw total energy = -2.98 eV per atom

Lattice parameters (Å, degrees): 4.888 4.888 4.888 90.00 90.00 90.00
Each line ends with the local moment (μB).
Positions (direct):
Na1 0.500 0.500 0.500  -0.01
K1 0.000 0.000 0.000  0.00
Ir1 0.000 0.500 0.000  1.13
Ir2 0.000 0.000 0.500  0.84
Ir3 0.500 0.000 0.000  0.95

[5]
Material: KNa2Ir
Method: DFT, PBE
State: optimized geometry

Output
E above lowest polymorph = 0 meV/atom
E_form = 595 meV/atom
raw total energy = -2.55 eV per atom

Lattice parameters (Å, degrees): 5.159 5.159 5.159 60.00 60.00 60.00
Positions (direct):
Na1 0.250 0.250 0.250
Na2 0.750 0.750 0.750
K1 0.000 0.000 0.000
Ir1 0.500 0.500 0.500

[6]
Material: KNa2Ir
Method: DFT, PBE
State: optimized geometry

Output
E above lowest polymorph = 211 meV/atom
E_form = 806 meV/atom
raw total energy = -2.34 eV per atom

Lattice parameters (Å, degrees): 4.758 4.758 10.880 77.37 77.37 90.00
Each line ends with the local moment (μB).
Positions (direct):
Na1 0.686 0.125 0.250  0.00
Na2 0.064 0.625 0.250  -0.01
Na3 0.375 0.314 0.750  -0.01
Na4 0.875 0.936 0.750  -0.01
K1 0.500 0.500 0.000  -0.01
K2 0.250 0.750 0.500  -0.01
Ir1 0.000 0.000 0.000  0.54
Ir2 0.750 0.250 0.500  0.54

[7]
Material: KNaIr3
Method: DFT, PBE
State: optimized geometry

Output
E above lowest polymorph = 0 meV/atom
E_form = 2232 meV/atom
raw total energy = -3.57 eV per atom

Lattice parameters (Å, degrees): 4.762 4.762 4.762 90.00 90.00 90.00
Each line ends with the local moment (μB).
Positions (direct):
Na1 0.000 0.000 0.000  0.00
K1 0.500 0.500 0.500  0.00
Ir1 0.000 0.500 0.000  0.24
Ir2 0.000 0.000 0.500  0.20
Ir3 0.500 0.000 0.000  0.20

[8]
Material: K3Na2IrO6
Method: DFT, PBE
State: optimized geometry

Output
formation energy (no corrections) = -1.22 eV/atom
raw total energy = -4.94 eV per atom

Lattice parameters (Å, degrees): 5.934 5.934 6.236 99.23 99.23 119.72
Each line ends with the local moment (μB).
Positions (direct):
K1 0.175 0.825 0.500  0.01
K2 0.825 0.175 0.500  0.01
K3 0.500 0.500 0.500  0.01
Na1 0.334 0.666 0.000  0.01
Na2 0.666 0.334 0.000  0.01
Ir1 0.000 0.000 0.000  1.00
O1 0.937 0.666 0.813  0.11
O2 0.796 0.796 0.190  0.13
O3 0.063 0.334 0.187  0.11
O4 0.666 0.937 0.813  0.11
O5 0.204 0.204 0.810  0.13
O6 0.334 0.063 0.187  0.11

[9]
Material: KNaIrO4
Method: DFT, PBE
State: optimized geometry

Output
formation energy (no corrections) = -1.02 eV/atom
raw total energy = -5.47 eV per atom

Lattice parameters (Å, degrees): 6.148 6.148 5.806 121.97 121.97 90.00
Each line ends with the local moment (μB).
Positions (direct):
K1 0.000 0.000 0.000  0.01
Na1 0.500 0.500 0.000  0.01
Ir1 0.250 0.750 0.500  0.52
O1 0.174 0.061 0.670  0.10
O2 0.391 0.826 0.330  0.10
O3 0.496 0.609 0.670  0.10
O4 0.939 0.504 0.330  0.10

[10]
Material: KNa2IrO6
Method: DFT, PBE
State: optimized geometry

Output
formation energy (no corrections) = -0.95 eV/atom
raw total energy = -5.18 eV per atom

Lattice parameters (Å, degrees): 5.753 6.208 8.467 90.00 89.41 90.00
Each line ends with the local moment (μB).
Positions (direct):
K1 0.500 0.000 0.000  0.00
K2 0.000 0.500 0.500  0.00
Na1 0.997 0.971 0.279  0.00
Na2 0.497 0.529 0.779  0.00
Na3 0.003 0.029 0.721  0.00
Na4 0.503 0.471 0.221  0.00
Ir1 0.500 0.000 0.500  -0.01
Ir2 0.000 0.500 0.000  -0.01
O1 0.283 0.640 0.024  -0.01
O2 0.783 0.860 0.524  -0.01
O3 0.717 0.360 0.976  -0.01
O4 0.217 0.140 0.476  -0.01
O5 0.383 0.764 0.388  0.24
O6 0.883 0.736 0.888  0.24
O7 0.617 0.236 0.612  0.24
O8 0.117 0.264 0.112  0.24
O9 0.890 0.623 0.190  -0.24
O10 0.390 0.877 0.690  -0.24
O11 0.110 0.377 0.810  -0.24
O12 0.610 0.123 0.310  -0.24

[11]
Material: K2Na2IrO4
Method: DFT, PBE
State: optimized geometry

Output
formation energy (no corrections) = -1.26 eV/atom
raw total energy = -4.98 eV per atom

Lattice parameters (Å, degrees): 6.080 9.031 11.311 90.00 90.00 105.49
Each line ends with the local moment (μB).
Positions (direct):
K1 0.163 0.499 0.362  0.01
K2 0.381 0.719 0.635  0.00
K3 0.619 0.281 0.365  0.00
K4 0.119 0.781 0.135  0.00
K5 0.881 0.219 0.865  0.00
K6 0.837 0.501 0.638  0.01
K7 0.663 0.999 0.138  0.01
K8 0.337 0.001 0.862  0.01
Na1 0.526 0.595 0.113  0.01
Na2 0.659 0.094 0.608  0.00
Na3 0.341 0.906 0.392  0.00
Na4 0.974 0.905 0.613  0.01
Na5 0.159 0.594 0.892  0.00
Na6 0.026 0.095 0.387  0.01
Na7 0.841 0.406 0.108  0.00
Na8 0.474 0.405 0.887  0.01
Ir1 0.744 0.729 0.370  1.65
Ir2 0.256 0.271 0.630  1.65
Ir3 0.244 0.229 0.130  1.65
Ir4 0.756 0.771 0.870  1.65
O1 0.994 0.276 0.534  0.27
O2 0.506 0.224 0.034  0.27
O3 0.211 0.432 0.731  0.27
O4 0.711 0.932 0.769  0.27
O5 0.697 0.898 0.466  0.24
O6 0.803 0.602 0.966  0.24
O7 0.006 0.724 0.466  0.27
O8 0.197 0.398 0.034  0.24
O9 0.017 0.760 0.776  0.26
O10 0.983 0.240 0.224  0.26
O11 0.483 0.740 0.276  0.26
O12 0.303 0.102 0.534  0.24
O13 0.517 0.260 0.724  0.26
O14 0.789 0.568 0.269  0.27
O15 0.289 0.068 0.231  0.27
O16 0.494 0.776 0.966  0.27

[12]
Material: K2Na3IrO6
Method: DFT, PBE
State: optimized geometry

Output
formation energy (no corrections) = -1.21 eV/atom
raw total energy = -4.94 eV per atom

Lattice parameters (Å, degrees): 6.351 6.351 5.721 100.48 100.48 121.43
Each line ends with the local moment (μB).
Positions (direct):
K1 0.328 0.672 0.000  0.01
K2 0.672 0.328 0.000  0.01
Na1 0.142 0.858 0.500  0.01
Na2 0.858 0.142 0.500  0.01
Na3 0.500 0.500 0.500  0.01
Ir1 0.000 0.000 0.000  1.01
O1 0.927 0.681 0.776  0.12
O2 0.807 0.807 0.198  0.11
O3 0.073 0.319 0.224  0.12
O4 0.681 0.927 0.776  0.12
O5 0.193 0.193 0.802  0.11
O6 0.319 0.073 0.224  0.12

[13]
Material: KNaIr2O8
Method: DFT, PBE
State: optimized geometry

Output
formation energy (no corrections) = -0.77 eV/atom
raw total energy = -5.76 eV per atom

Lattice parameters (Å, degrees): 6.127 6.127 7.427 90.00 90.00 120.00
Each line ends with the local moment (μB).
Positions (direct):
K1 0.000 0.000 0.000  0.01
Na1 0.000 0.000 0.500  0.00
Ir1 0.667 0.333 0.777  0.79
Ir2 0.333 0.667 0.223  0.79
O1 0.827 0.655 0.707  0.22
O2 0.345 0.172 0.707  0.22
O3 0.828 0.173 0.707  0.22
O4 0.173 0.345 0.293  0.22
O5 0.655 0.828 0.293  0.22
O6 0.172 0.827 0.293  0.22
O7 0.667 0.333 0.018  0.29
O8 0.333 0.667 0.982  0.29

[14]
Material: K2NaIrO6
Method: DFT, PBE
State: optimized geometry

Output
formation energy (no corrections) = -1.01 eV/atom
raw total energy = -5.23 eV per atom

Lattice parameters (Å, degrees): 5.972 5.972 5.972 60.00 60.00 60.00
Positions (direct):
K1 0.750 0.750 0.750
K2 0.250 0.250 0.250
Na1 0.500 0.500 0.500
Ir1 0.000 0.000 0.000
O1 0.221 0.779 0.779
O2 0.221 0.779 0.221
O3 0.221 0.221 0.779
O4 0.779 0.779 0.221
O5 0.779 0.221 0.221
O6 0.779 0.221 0.779

[15]
Material: K3NaIr2O8
Method: DFT, PBE
State: optimized geometry

Output
formation energy (no corrections) = -1.03 eV/atom
raw total energy = -5.46 eV per atom

Lattice parameters (Å, degrees): 6.047 6.047 7.853 90.00 90.00 120.00
Each line ends with the local moment (μB).
Positions (direct):
K1 0.333 0.667 0.642  0.00
K2 0.667 0.333 0.358  0.00
K3 0.000 0.000 0.000  0.00
Na1 0.000 0.000 0.500  0.00
Ir1 0.333 0.667 0.203  0.45
Ir2 0.667 0.333 0.797  0.45
O1 0.333 0.667 0.974  0.08
O2 0.667 0.333 0.026  0.08
O3 0.176 0.824 0.308  0.13
O4 0.824 0.176 0.692  0.13
O5 0.176 0.351 0.308  0.13
O6 0.824 0.649 0.692  0.13
O7 0.649 0.824 0.308  0.13
O8 0.351 0.176 0.692  0.13

[16]
Material: K2NaIrO4
Method: DFT, PBE
State: optimized geometry

Output
formation energy (no corrections) = -1.19 eV/atom
raw total energy = -5.22 eV per atom

Lattice parameters (Å, degrees): 5.703 5.703 5.703 102.14 113.26 113.26
Each line ends with the local moment (μB).
Positions (direct):
K1 0.500 0.750 0.250  0.01
K2 0.000 0.000 0.000  0.00
Na1 0.500 0.250 0.750  0.00
Ir1 0.000 0.500 0.500  0.98
O1 0.590 0.278 0.369  0.19
O2 0.091 0.312 0.722  0.19
O3 0.909 0.631 0.221  0.19
O4 0.410 0.779 0.688  0.19

[17]
Material: KNa2PIr
Method: DFT, PBE
State: optimized geometry

Output
E_form = -155 meV/atom
raw total energy = -3.76 eV per atom

Lattice parameters (Å, degrees): 5.559 5.559 4.439 90.00 90.00 90.00
Positions (direct):
P1 0.000 0.000 0.500
K1 0.500 0.500 0.500
Ir1 0.000 0.000 0.000
Na1 0.000 0.500 0.000
Na2 0.500 0.000 0.000

[18]
Material: KNaIr2Pt
Method: DFT, PBE
State: optimized geometry

Output
E_form = 2448 meV/atom
raw total energy = -2.79 eV per atom

Lattice parameters (Å, degrees): 4.889 5.124 4.889 90.00 90.00 90.00
Each line ends with the local moment (μB).
Positions (direct):
Na1 0.500 0.500 0.500  -0.01
K1 0.000 0.000 0.000  0.00
Ir1 0.000 0.000 0.500  0.90
Ir2 0.500 0.000 0.000  0.87
Pt1 0.000 0.500 0.000  0.17

[19]
Material: KRbNa2Ir
Method: DFT, PBE
State: optimized geometry

Output
E_form = 1033 meV/atom
raw total energy = -1.68 eV per atom

Lattice parameters (Å, degrees): 6.214 5.354 6.214 90.00 90.00 90.00
Positions (direct):
Na1 0.000 0.000 0.500
Na2 0.500 0.000 0.000
K1 0.500 0.500 0.500
Ir1 0.000 0.500 0.000
Rb1 0.000 0.000 0.000

[20]
Material: KNaIrSe2
Method: DFT, PBE
State: optimized geometry

Output
formation energy (no corrections) = -0.23 eV/atom
E above lowest polymorph = 0 meV/atom
raw total energy = -3.88 eV per atom

Lattice parameters (Å, degrees): 5.009 5.308 5.009 90.00 90.00 90.00
Positions (direct):
Na1 0.000 0.500 0.000
K1 0.500 0.500 0.500
Ir1 0.000 0.000 0.000
Se1 0.000 0.000 0.500
Se2 0.500 0.000 0.000

[21]
Material: KNaIrSe2
Method: DFT, PBE
State: optimized geometry

Output
formation energy (no corrections) = 0.80 eV/atom
E above lowest polymorph = 1027 meV/atom
raw total energy = -2.85 eV per atom

Lattice parameters (Å, degrees): 5.277 5.076 5.277 90.00 90.00 90.00
Each line ends with the local moment (μB).
Positions (direct):
Na1 0.000 0.000 0.000  0.00
K1 0.500 0.500 0.500  0.00
Ir1 0.000 0.500 0.000  1.65
Se1 0.000 0.000 0.500  0.19
Se2 0.500 0.000 0.000  0.19

[22]
Material: KNaSr2Ir
Method: DFT, PBE
State: optimized geometry

Output
E_form = 92 meV/atom
raw total energy = -2.84 eV per atom

Lattice parameters (Å, degrees): 5.852 5.852 6.032 90.00 90.00 90.00
Positions (direct):
Sr1 0.000 0.500 0.000
Sr2 0.500 0.000 0.000
K1 0.500 0.500 0.500
Ir1 0.000 0.000 0.000
Na1 0.000 0.000 0.500

[23]
Material: KNaTl2Ir
Method: DFT, PBE
State: optimized geometry

Output
E_form = 29 meV/atom
raw total energy = -3.17 eV per atom

Lattice parameters (Å, degrees): 5.300 5.300 5.656 90.00 90.00 90.00
Positions (direct):
Na1 0.000 0.000 0.500
Tl1 0.000 0.500 0.000
Tl2 0.500 0.000 0.000
Ir1 0.000 0.000 0.000
K1 0.500 0.500 0.500

[24]
Material: K2NbIr
Method: DFT, PBE
State: optimized geometry

Output
E above lowest polymorph = 991 meV/atom
E_form = 2053 meV/atom
raw total energy = -3.23 eV per atom

Lattice parameters (Å, degrees): 5.214 5.214 5.214 60.00 60.00 60.00
Positions (direct):
Nb1 0.000 0.000 0.000
Ir1 0.500 0.500 0.500
K1 0.250 0.250 0.250
K2 0.750 0.750 0.750